The following is a DFT calculation (PBE) of a relaxed Ca2Ga2BiRh5 crystal.

Values from the calculation:
The theoretical density comes out at 8.73 g/cm3. The value obtained for the density of states at the Fermi level is 0.637 states/eV per atom. The value obtained for the energy relative to the elements is -54 kJ/mol of atoms.

abc: 9.9579 9.9579 3.6191
angles: 90.00 90.00 90.00
Last column: nearest neighbours and their distance in Å.
Space group P4/mbm (No. 127)
Asymmetric unit:
Ca: 0.1748 0.3252 0.0000  3 Ga 2.85-3.01, 6 Rh 3.06-3.16
Ga: 0.1227 0.6227 0.0000  6 Rh 2.50-2.51
Bi: 0.0000 0.0000 0.0000  8 Rh 2.86
Rh: 0.0000 0.5000 0.5000  4 Ga 2.50
Rh: 0.0683 0.7881 0.5000  2 Ga 2.51


The following is a DFT calculation (PBE) of a relaxed CdP2Pb crystal.

Values from the calculation:
The theoretical density comes out at 7.10 g/cm3. The value obtained for the density of states at the Fermi level is 0.499 states/eV per atom. The value obtained for the energy relative to the elements is 22 kJ/mol of atoms.

abc: 6.9517 4.0113 6.8087
angles: 90.00 110.05 90.00
Last column: nearest neighbours and their distance in Å.
Space group C2/m (No. 12)
Asymmetric unit:
Cd: 0.0000 0.0000 0.0000  6 P 2.74-2.76
P: 0.2422 0.5000 0.2303  3 Cd 2.74-2.76, 3 Pb 2.89
Pb: 0.0000 0.5000 0.5000  6 P 2.89


The following is a DFT calculation (PBE) of a relaxed LiEuErSn crystal.

Values from the calculation:
The theoretical density comes out at 6.87 g/cm3. The value obtained for the density of states at the Fermi level is 2.173 states/eV per atom. The value obtained for the energy relative to the elements is -38 kJ/mol of atoms.

abc: 7.5480 7.5480 7.5480
angles: 90.00 90.00 90.00
Last column: nearest neighbours and their distance in Å.
Space group F-43m (No. 216)
Asymmetric unit:
Li: 0.0000 0.0000 0.0000  4 Er 3.27, 4 Eu 3.27
Eu: 0.2500 0.2500 0.7500  4 Li 3.27, 4 Sn 3.27
Er: 0.2500 0.2500 0.2500  4 Sn 3.27, 4 Li 3.27
Sn: 0.0000 0.0000 0.5000  4 Eu 3.27, 4 Er 3.27


The following is a DFT calculation (PBE) of a relaxed PaInNi6 crystal.

Values from the calculation:
The theoretical density comes out at 10.59 g/cm3. The value obtained for the density of states at the Fermi level is 0.195 states/eV per atom. The energy above the most stable polymorph in this dataset is 0.000 eV per atom. The value obtained for the energy relative to the elements is -28 kJ/mol of atoms.

abc: 7.5984 10.7276 10.7392
angles: 90.00 90.00 90.00
Last column: nearest neighbours and their distance in Å.
Space group Cmmm (No. 65)
Asymmetric unit:
Pa: 0.0000 0.0000 0.2399  12 Ni 2.58-2.79
Pa: 0.0000 0.2536 0.5000  12 Ni 2.64-2.72
In: 0.0000 0.2488 0.0000  12 Ni 2.67-2.70
In: 0.0000 0.5000 0.2467  12 Ni 2.65-2.72
Ni: 0.0000 0.0000 0.0000  2 Pa 2.58, 2 In 2.67, 8 Ni 2.68
Ni: 0.0000 0.0000 0.5000  8 Ni 2.67, 4 Pa 2.72-2.79
Ni: 0.0000 0.2484 0.2518  8 Ni 2.65-2.71, 2 Pa 2.67, 2 In 2.70
Ni: 0.0000 0.5000 0.0000  4 In 2.65-2.69, 8 Ni 2.68
Ni: 0.0000 0.5000 0.5000  2 Pa 2.64, 8 Ni 2.70, 2 In 2.72
Ni: 0.2472 0.1249 0.3754  8 Ni 2.65-2.70, 3 Pa 2.68-2.73, 1 In 2.72
Ni: 0.2500 0.1241 0.1243  1 Pa 2.63, 8 Ni 2.66-2.71, 3 In 2.67-2.69


The following is a DFT calculation (PBE) of a relaxed Cr3BiN crystal.

Values from the calculation:
The theoretical density comes out at 4.07 g/cm3. The value obtained for the density of states at the Fermi level is 0.292 states/eV per atom. The energy above the most stable polymorph in this dataset is 2.050 eV per atom. As for the uncorrected formation energy: 50.6 kcal/mol of atoms.

abc: 5.3667 5.3667 5.3667
angles: 90.00 90.00 90.00
Last column: nearest neighbours and their distance in Å.
Space group Pm-3m (No. 221)
Asymmetric unit:
Cr: 0.0000 0.0000 0.5000  2 Bi 2.68
Bi: 0.0000 0.0000 0.0000  6 Cr 2.68
N: 0.5000 0.5000 0.5000  12 Cr 3.79


The following is a DFT calculation (PBE) of a relaxed Tb2Ni2Au crystal.

Values from the calculation:
The theoretical density comes out at 10.92 g/cm3. The value obtained for the density of states at the Fermi level is 0.631 states/eV per atom. The energy above the most stable polymorph in this dataset is 0.030 eV per atom. The value obtained for the energy relative to the elements is -56 kJ/mol of atoms.

abc: 7.2512 7.2512 3.6574
angles: 90.00 90.00 90.00
Last column: nearest neighbours and their distance in Å.
Space group P4/mbm (No. 127)
Asymmetric unit:
Tb: 0.1786 0.3214 0.0000  6 Ni 2.77-2.86
Ni: 0.1192 0.6192 0.5000  1 Ni 2.44
Au: 0.0000 0.0000 0.5000  4 Ni 2.89, 8 Tb 3.23


The following is a DFT calculation (PBE) of a relaxed V6Mo3Os crystal.

Values from the calculation:
The theoretical density comes out at 9.20 g/cm3. The value obtained for the density of states at the Fermi level is 0.705 states/eV per atom. The energy above the most stable polymorph in this dataset is 0.000 eV per atom. The value obtained for the energy relative to the elements is -20 kJ/mol of atoms.

abc: 7.4772 4.3026 9.1380
angles: 90.00 105.83 90.00
Last column: nearest neighbours and their distance in Å.
Space group P2_1/m (No. 11)
Asymmetric unit:
V: 0.0488 0.2500 0.3985  4 Mo 2.60-2.63, 1 Os 2.62, 3 V 2.63-2.68
V: 0.1476 0.7500 0.1995  1 V 2.60, 3 Os 2.63-2.64, 4 Mo 2.64-2.66
V: 0.1486 0.2500 0.7035  8 V 2.60-2.68
V: 0.2477 0.2500 0.9994  1 V 2.60, 3 Os 2.63-2.64, 4 Mo 2.64-2.65
V: 0.3479 0.7500 0.8020  1 Os 2.61, 5 Mo 2.63-2.68, 2 V 2.63
V: 0.4498 0.2500 0.6018  7 Mo 2.61-2.70, 1 V 2.66
Mo: 0.2453 0.7500 0.5023  8 V 2.60-2.70
Mo: 0.3480 0.2500 0.3001  8 V 2.63-2.68
Mo: 0.4511 0.7500 0.1011  8 V 2.61-2.66
Os: 0.0506 0.7500 0.8997  8 V 2.61-2.64


The following is a DFT calculation (PBE) of a relaxed KPd3F9 crystal.

Values from the calculation:
The theoretical density comes out at 4.20 g/cm3. The value obtained for the density of states at the Fermi level is 0.378 states/eV per atom. As for the uncorrected formation energy: -34.6 kcal/mol of atoms.

abc: 5.8177 8.1677 8.8186
angles: 90.00 92.87 90.00
Last column: nearest neighbours and their distance in Å.
Space group P2_1/m (No. 11)
Asymmetric unit:
K: 0.0258 0.2500 0.3988  7 F 2.74-2.80
Pd: 0.0000 0.0000 0.0000  6 F 2.07-2.09
Pd: 0.4709 0.0040 0.6839  6 F 2.02-2.13
F: 0.0599 0.2500 0.0144  2 Pd 2.07
F: 0.1831 0.5273 0.8062  2 Pd 2.05-2.07
F: 0.2705 0.5264 0.4767  2 Pd 2.13
F: 0.2990 0.5311 0.1389  2 Pd 2.02-2.09
F: 0.3959 0.2500 0.6635  2 Pd 2.06
F: 0.4775 0.2500 0.3155  2 Pd 2.10


The following is a DFT calculation (PBE) of a relaxed LaReAu2 crystal.

Values from the calculation:
The theoretical density comes out at 14.97 g/cm3. The value obtained for the density of states at the Fermi level is 0.795 states/eV per atom. The energy above the most stable polymorph in this dataset is 0.052 eV per atom. The value obtained for the energy relative to the elements is 20 kJ/mol of atoms.

abc: 6.0878 8.4430 3.1029
angles: 90.00 90.19 90.00
Last column: nearest neighbours and their distance in Å.
Space group C2/m (No. 12)
Asymmetric unit:
La: 0.0000 0.0000 0.0000  8 Au 3.03, 2 Re 3.04, 2 La 3.10
Re: 0.0000 0.5000 0.0000  8 Au 3.03, 2 La 3.04, 2 Re 3.10
Au: 0.2500 0.2500 0.5000  4 La 3.03, 4 Re 3.03, 4 Au 3.04-3.10


The following is a DFT calculation (PBE) of a relaxed ScZn2Ni2 crystal.

Values from the calculation:
The theoretical density comes out at 6.77 g/cm3. The value obtained for the density of states at the Fermi level is 0.611 states/eV per atom. The energy above the most stable polymorph in this dataset is 0.084 eV per atom. The value obtained for the energy relative to the elements is -26 kJ/mol of atoms.

abc: 6.7555 6.7555 3.1521
angles: 90.00 90.00 90.00
Last column: nearest neighbours and their distance in Å.
Space group P4/mbm (No. 127)
Asymmetric unit:
Sc: 0.0000 0.0000 0.0000  4 Ni 2.63
Zn: 0.1585 0.3415 0.5000  6 Ni 2.53-2.54
Ni: 0.1348 0.6348 0.0000  6 Zn 2.53-2.54, 1 Ni 2.58, 2 Sc 2.63


The following is a DFT calculation (PBE) of a relaxed Er2MgPa crystal.

Values from the calculation:
The theoretical density comes out at 8.98 g/cm3. The value obtained for the density of states at the Fermi level is 1.569 states/eV per atom. The energy above the most stable polymorph in this dataset is 0.235 eV per atom. The value obtained for the energy relative to the elements is 27 kJ/mol of atoms.

abc: 3.2265 3.2265 36.3083
angles: 90.00 90.00 120.00
Last column: nearest neighbours and their distance in Å.
Space group R-3m (No. 166, hexagonal axes)
Asymmetric unit:
Er: 0.0000 0.0000 0.0884  1 Pa 3.21, 6 Er 3.23, 3 Mg 3.40
Mg: 0.0000 0.0000 0.5000  6 Mg 3.23, 6 Er 3.40
Pa: 0.0000 0.0000 0.0000  2 Er 3.21, 6 Pa 3.23


The following is a DFT calculation (PBE) of a relaxed KIr2Rh crystal.

Values from the calculation:
The theoretical density comes out at 12.82 g/cm3. The value obtained for the density of states at the Fermi level is 1.720 states/eV per atom. The energy above the most stable polymorph in this dataset is 0.850 eV per atom. The value obtained for the energy relative to the elements is 126 kJ/mol of atoms.

abc: 6.4856 6.4856 6.4856
angles: 90.00 90.00 90.00
Last column: nearest neighbours and their distance in Å.
Space group Fm-3m (No. 225)
Asymmetric unit:
K: 0.0000 0.0000 0.0000  8 Ir 2.81
Ir: 0.2500 0.2500 0.2500  4 K 2.81, 4 Rh 2.81
Rh: 0.0000 0.0000 0.5000  8 Ir 2.81


What did the third record say?
The following is a DFT calculation (PBE) of a relaxed LiEuErSn crystal.

Values from the calculation:
The theoretical density comes out at 6.87 g/cm3. The value obtained for the density of states at the Fermi level is 2.173 states/eV per atom. The value obtained for the energy relative to the elements is -38 kJ/mol of atoms.

abc: 7.5480 7.5480 7.5480
angles: 90.00 90.00 90.00
Last column: nearest neighbours and their distance in Å.
Space group F-43m (No. 216)
Asymmetric unit:
Li: 0.0000 0.0000 0.0000  4 Er 3.27, 4 Eu 3.27
Eu: 0.2500 0.2500 0.7500  4 Li 3.27, 4 Sn 3.27
Er: 0.2500 0.2500 0.2500  4 Sn 3.27, 4 Li 3.27
Sn: 0.0000 0.0000 0.5000  4 Eu 3.27, 4 Er 3.27